## P
DFT (GGA-PBEsol) results for a relaxed TaIrRh2 crystal.

abc: 4.372 4.372 4.372
angles: 60.00 60.00 60.00
Sites, in units of the cell vectors:
Ir (0.000, 0.000, 0.000)
Rh (0.250, 0.250, 0.250)
Rh (0.750, 0.750, 0.750)
Ta (0.500, 0.500, 0.500)

Total moment = 0.0 μB per cell
Density of states at the Fermi level = 8.58 states/eV/cell

## Q
DFT (GGA-PBEsol) results for a relaxed TaIrRh2 crystal.

abc: 2.797 4.675 4.686
angles: 108.75 90.00 90.00
Sites, in units of the cell vectors:
Ir (0.000, 0.500, 0.500)
Rh (0.000, 0.000, 0.000)
Rh (0.500, 0.000, 0.500)
Ta (0.500, 0.500, 0.000)

Total moment = 0.0 μB per cell
Density of states at the Fermi level = 3.10 states/eV/cell

## R
DFT (GGA-PBEsol) results for a relaxed TaIrRh2 crystal.

abc: 2.770 3.808 5.507
angles: 90.00 90.00 90.00
Sites, in units of the cell vectors:
Ir (0.500, 0.500, 0.759)
Rh (0.000, 0.000, 0.001)
Rh (0.500, 0.500, 0.242)
Ta (0.000, 0.000, 0.498)

Total moment = 0.0 μB per cell
Density of states at the Fermi level = 4.13 states/eV/cell

The winner here is Q, beating the second structure by 16 meV per atom.

## P
DFT (GGA-PBEsol) results for a relaxed Tc2IrRh crystal.

abc: 4.314 4.314 4.314
angles: 60.00 60.00 60.00
Sites, in units of the cell vectors:
Ir (0.000, 0.000, 0.000)
Rh (0.500, 0.500, 0.500)
Tc (0.250, 0.250, 0.250)
Tc (0.750, 0.750, 0.750)

Total moment = 0.0 μB per cell
Density of states at the Fermi level = 6.40 states/eV/cell

## Q
DFT (GGA-PBEsol) results for a relaxed Tc2IrRh crystal.

abc: 2.670 4.660 4.700
angles: 99.15 90.00 106.65
Sites, in units of the cell vectors:
Ir (0.497, 0.995, 0.491)
Rh (0.251, 0.503, 0.758)
Tc (0.000, 0.001, 0.995)
Tc (0.751, 0.502, 0.256)

Total moment = 0.0 μB per cell
Density of states at the Fermi level = 3.85 states/eV/cell

## R
DFT (GGA-PBEsol) results for a relaxed Tc2IrRh crystal.

abc: 2.691 4.306 4.736
angles: 90.00 90.00 90.00
Sites, in units of the cell vectors:
Ir (0.500, 0.000, 0.541)
Rh (0.500, 0.500, 0.207)
Tc (0.000, 0.000, 0.039)
Tc (0.000, 0.500, 0.713)

Total moment = 0.0 μB per cell
Density of states at the Fermi level = 2.59 states/eV/cell

The winner here is R, beating the second structure by 142 meV per atom.

## P
DFT (GGA-PBEsol) results for a relaxed TcIrRh crystal.

abc: 2.692 2.692 6.016
angles: 102.93 102.93 90.00
Sites, in units of the cell vectors:
Ir (0.004, 0.004, 0.009)
Rh (0.330, 0.330, 0.659)
Tc (0.666, 0.666, 0.332)

Total moment = 0.0 μB per cell
Density of states at the Fermi level = 2.70 states/eV/cell

## Q
DFT (GGA-PBEsol) results for a relaxed TcIrRh crystal.

abc: 2.690 2.690 6.602
angles: 90.00 90.00 120.00
Sites, in units of the cell vectors:
Ir (0.000, 0.000, 0.007)
Rh (0.333, 0.667, 0.660)
Tc (0.667, 0.333, 0.333)

Total moment = 0.0 μB per cell
Density of states at the Fermi level = 2.89 states/eV/cell

The winner here is P, beating the second structure by 39 meV per atom.

## P
DFT (GGA-PBEsol) results for a relaxed TlIr2Rh crystal.

abc: 2.847 4.739 4.944
angles: 99.76 90.00 107.48
Sites, in units of the cell vectors:
Ir (0.006, 0.012, 0.037)
Ir (0.749, 0.499, 0.238)
Rh (0.495, 0.991, 0.487)
Tl (0.249, 0.499, 0.738)

Total moment = 0.0 μB per cell
Density of states at the Fermi level = 3.59 states/eV/cell

## Q
DFT (GGA-PBEsol) results for a relaxed TlIr2Rh crystal.

abc: 3.303 3.303 5.801
angles: 90.00 90.00 90.00
Sites, in units of the cell vectors:
Ir (0.000, 0.000, 0.773)
Ir (0.000, 0.000, 0.227)
Rh (0.500, 0.500, 0.000)
Tl (0.500, 0.500, 0.500)

Total moment = 0.0 μB per cell
Density of states at the Fermi level = 4.58 states/eV/cell

## R
DFT (GGA-PBEsol) results for a relaxed TlIr2Rh crystal.

abc: 2.840 2.840 9.137
angles: 81.06 81.06 60.00
Sites, in units of the cell vectors:
Ir (0.006, 0.006, 0.983)
Ir (0.751, 0.751, 0.748)
Rh (0.495, 0.495, 0.515)
Tl (0.249, 0.249, 0.254)

Total moment = 0.0 μB per cell
Density of states at the Fermi level = 3.56 states/eV/cell

The winner here is P, beating the second structure by 67 meV per atom.

## P
DFT (GGA-PBEsol) results for a relaxed TlIr2Rh crystal.

abc: 2.779 4.688 5.559
angles: 114.94 104.47 90.00
Sites, in units of the cell vectors:
Ir (0.766, 0.766, 0.532)
Ir (0.234, 0.234, 0.468)
Rh (0.500, 0.000, 0.000)
Tl (0.000, 0.500, 0.000)

Total moment = 0.0 μB per cell
Density of states at the Fermi level = 4.77 states/eV/cell

## Q
DFT (GGA-PBEsol) results for a relaxed TlIr2Rh crystal.

abc: 2.820 3.803 5.854
angles: 90.00 90.00 90.00
Sites, in units of the cell vectors:
Ir (0.000, 0.000, 0.034)
Ir (0.500, 0.500, 0.242)
Rh (0.000, 0.000, 0.482)
Tl (0.500, 0.500, 0.742)

Total moment = 0.0 μB per cell
Density of states at the Fermi level = 4.14 states/eV/cell

The winner here is Q, beating the second structure by 104 meV per atom.

## P
DFT (GGA-PBEsol) results for a relaxed IrRh2W crystal.

abc: 4.332 4.332 4.332
angles: 60.00 60.00 60.00
Sites, in units of the cell vectors:
Ir (0.000, 0.000, 0.000)
Rh (0.250, 0.250, 0.250)
Rh (0.750, 0.750, 0.750)
W (0.500, 0.500, 0.500)

Total moment = 0.0 μB per cell
Density of states at the Fermi level = 4.99 states/eV/cell

## Q
DFT (GGA-PBEsol) results for a relaxed IrRh2W crystal.

abc: 3.818 3.818 3.852
angles: 90.00 90.00 90.00
Sites, in units of the cell vectors:
Ir (0.000, 0.000, 0.500)
Rh (0.000, 0.500, 0.000)
Rh (0.500, 0.000, 0.000)
W (0.500, 0.500, 0.500)

Total moment = 0.0 μB per cell
Density of states at the Fermi level = 2.59 states/eV/cell

The winner here is Q, beating the second structure by 491 meV per atom.

## P
DFT (GGA-PBEsol) results for a relaxed Ir2RhW crystal.

abc: 3.822 3.853 3.853
angles: 90.00 90.00 90.00
Sites, in units of the cell vectors:
Ir (0.000, 0.000, 0.500)
Ir (0.000, 0.500, 0.000)
Rh (0.500, 0.500, 0.500)
W (0.500, 0.000, 0.000)

Total moment = 0.0 μB per cell
Density of states at the Fermi level = 2.68 states/eV/cell

## Q
DFT (GGA-PBEsol) results for a relaxed Ir2RhW crystal.

abc: 3.863 3.863 4.688
angles: 114.33 114.33 90.00
Sites, in units of the cell vectors:
Ir (0.750, 0.250, 0.500)
Ir (0.250, 0.750, 0.500)
Rh (0.500, 0.500, 0.000)
W (0.000, 0.000, 0.000)

Total moment = 0.0 μB per cell
Density of states at the Fermi level = 3.52 states/eV/cell

## R
DFT (GGA-PBEsol) results for a relaxed Ir2RhW crystal.

abc: 4.351 4.351 4.351
angles: 60.00 60.00 60.00
Sites, in units of the cell vectors:
Ir (0.250, 0.250, 0.250)
Ir (0.750, 0.750, 0.750)
Rh (0.000, 0.000, 0.000)
W (0.500, 0.500, 0.500)

Total moment = 0.0 μB per cell
Density of states at the Fermi level = 4.54 states/eV/cell

The winner here is P, beating the second structure by 19 meV per atom.

## P
DFT (GGA-PBEsol) results for a relaxed Y2IrRh crystal.

abc: 4.779 4.779 4.779
angles: 60.00 60.00 60.00
Sites, in units of the cell vectors:
Y (0.750, 0.750, 0.750)
Y (0.250, 0.250, 0.250)
Ir (0.000, 0.000, 0.000)
Rh (0.500, 0.500, 0.500)

Total moment = 0.0 μB per cell
Density of states at the Fermi level = 1.75 states/eV/cell

## Q
DFT (GGA-PBEsol) results for a relaxed Y2IrRh crystal.

abc: 3.303 4.833 4.833
angles: 90.76 90.00 90.00
Sites, in units of the cell vectors:
Y (0.000, 0.500, 0.000)
Y (0.000, 0.000, 0.500)
Ir (0.500, 0.000, 0.000)
Rh (0.500, 0.500, 0.500)

Total moment = 0.0 μB per cell
Density of states at the Fermi level = 1.60 states/eV/cell

The winner here is P, beating the second structure by 13 meV per atom.

## P
DFT (GGA-PBEsol) results for a relaxed Y2IrRh crystal.

abc: 3.244 4.504 5.565
angles: 90.00 90.00 90.00
Sites, in units of the cell vectors:
Ir (0.000, 0.000, 0.431)
Rh (0.500, 0.500, 0.816)
Y (0.000, 0.000, 0.928)
Y (0.500, 0.500, 0.324)

Total moment = 0.0 μB per cell
Density of states at the Fermi level = 1.53 states/eV/cell

## Q
DFT (GGA-PBEsol) results for a relaxed Y2IrRh crystal.

abc: 3.805 4.146 5.554
angles: 90.00 110.03 90.00
Sites, in units of the cell vectors:
Y (0.020, 0.000, 0.040)
Y (0.731, 0.500, 0.462)
Ir (0.455, 0.500, 0.910)
Rh (0.294, 0.000, 0.587)

Total moment = 0.0 μB per cell
Density of states at the Fermi level = 1.05 states/eV/cell

The winner here is Q, beating the second structure by 244 meV per atom.

## P
DFT (GGA-PBEsol) results for a relaxed YIrRh2 crystal.

abc: 2.879 2.879 7.746
angles: 90.00 90.00 90.00
Sites, in units of the cell vectors:
Ir (0.500, 0.500, 0.779)
Rh (0.000, 0.000, 0.000)
Rh (0.500, 0.500, 0.224)
Y (0.000, 0.000, 0.497)

Total moment = 0.0 μB per cell
Density of states at the Fermi level = 4.18 states/eV/cell

## Q
DFT (GGA-PBEsol) results for a relaxed YIrRh2 crystal.

abc: 3.935 4.011 4.011
angles: 90.00 90.00 90.00
Sites, in units of the cell vectors:
Ir (0.500, 0.000, 0.000)
Rh (0.000, 0.000, 0.500)
Rh (0.000, 0.500, 0.000)
Y (0.500, 0.500, 0.500)

Total moment = 0.0 μB per cell
Density of states at the Fermi level = 3.93 states/eV/cell

## R
DFT (GGA-PBEsol) results for a relaxed YIrRh2 crystal.

abc: 2.917 4.830 4.919
angles: 100.61 90.00 107.58
Sites, in units of the cell vectors:
Ir (0.500, 0.000, 0.000)
Rh (0.758, 0.517, 0.784)
Rh (0.242, 0.483, 0.216)
Y (0.000, 0.000, 0.500)

Total moment = 0.0 μB per cell
Density of states at the Fermi level = 3.61 states/eV/cell

The winner here is Q, beating the second structure by 189 meV per atom.

## P
DFT (GGA-PBEsol) results for a relaxed Ir2Ru crystal.

abc: 3.806 3.806 11.735
angles: 99.33 99.33 90.00
Sites, in units of the cell vectors:
Ir (0.749, 0.749, 0.499)
Ir (0.251, 0.251, 0.501)
Ir (0.999, 0.499, 0.999)
Ir (0.501, 0.001, 0.001)
Ir (0.584, 0.584, 0.168)
Ir (0.416, 0.416, 0.832)
Ir (0.834, 0.334, 0.668)
Ir (0.666, 0.166, 0.332)
Ru (0.916, 0.916, 0.831)
Ru (0.084, 0.084, 0.169)
Ru (0.166, 0.666, 0.331)
Ru (0.334, 0.834, 0.669)

Total moment = 0.0 μB per cell
Density of states at the Fermi level = 9.78 states/eV/cell

## Q
DFT (GGA-PBEsol) results for a relaxed Ir2Ru crystal.

abc: 2.713 5.112 6.394
angles: 103.63 90.00 105.39
Sites, in units of the cell vectors:
Ru (0.057, 0.114, 0.614)
Ru (0.720, 0.441, 0.942)
Ir (0.001, 0.001, 0.998)
Ir (0.389, 0.778, 0.277)
Ir (0.666, 0.332, 0.335)
Ir (0.333, 0.667, 0.668)

Total moment = 0.0 μB per cell
Density of states at the Fermi level = 5.97 states/eV/cell

## R
DFT (GGA-PBEsol) results for a relaxed Ir2Ru crystal.

abc: 2.694 2.694 6.594
angles: 90.00 90.00 120.00
Sites, in units of the cell vectors:
Ru (0.000, 0.000, 0.000)
Ir (0.667, 0.333, 0.328)
Ir (0.333, 0.667, 0.672)

Total moment = 0.0 μB per cell
Density of states at the Fermi level = 2.82 states/eV/cell

The winner here is P, beating the second structure by 20 meV per atom.

## P
DFT (GGA-PBEsol) results for a relaxed Ir2Ru crystal.

abc: 2.689 3.806 4.666
angles: 114.07 106.75 90.00
Sites, in units of the cell vectors:
Ru (0.500, 0.500, 0.000)
Ir (0.835, 0.835, 0.670)
Ir (0.165, 0.165, 0.330)

Total moment = 0.0 μB per cell
Density of states at the Fermi level = 2.47 states/eV/cell

## Q
DFT (GGA-PBEsol) results for a relaxed Ir2Ru crystal.

abc: 2.713 5.109 6.400
angles: 103.60 90.00 105.40
Sites, in units of the cell vectors:
Ru (0.305, 0.611, 0.363)
Ru (0.695, 0.389, 0.637)
Ir (0.971, 0.941, 0.690)
Ir (0.360, 0.719, 0.970)
Ir (0.640, 0.281, 0.030)
Ir (0.029, 0.059, 0.310)

Total moment = 0.0 μB per cell
Density of states at the Fermi level = 5.85 states/eV/cell

The winner here is P, beating the second structure by 25 meV per atom.